First-principles (GGA-PBEsol) data for a relaxed Rb5V3O10 crystal, as listed in Alexandria.

Output
Its uncorrected formation energy is -2288.8 meV per atom. For the density, the calculation gives 3.6 Mg/m³. The calculated volume is 18.91 A^3/atom. For the spin magnetization, the calculation gives 0.000 μB/atom. Its final energy is -7.096 eV/atom.

abc: 8.3748 8.3748 19.4083
angles: 90.00 90.00 90.00
Closest atoms and distances in Å follow each position.
Element x y z (fractional)
Rb 0.4757 0.0117 0.1345  7 O 2.84-3.17
Rb 0.5243 0.9883 0.6345  7 O 2.84-3.17
Rb 0.4883 0.9757 0.3845  7 O 2.84-3.17
Rb 0.0243 0.5117 0.1155  7 O 2.84-3.17
Rb 0.5117 0.0243 0.8845  7 O 2.84-3.17
Rb 0.9757 0.4883 0.6155  7 O 2.84-3.17
Rb 0.0117 0.4757 0.8655  7 O 2.84-3.17
Rb 0.9883 0.5243 0.3655  7 O 2.84-3.17
Rb 0.0026 0.0257 0.1102  5 O 2.76-3.07
Rb 0.9974 0.9743 0.6102  5 O 2.76-3.07
Rb 0.4743 0.5026 0.3602  5 O 2.76-3.07
Rb 0.4974 0.5257 0.1398  5 O 2.76-3.07
Rb 0.5257 0.4974 0.8602  5 O 2.76-3.07
Rb 0.5026 0.4743 0.6398  5 O 2.76-3.07
Rb 0.0257 0.0026 0.8898  5 O 2.76-3.07
Rb 0.9743 0.9974 0.3898  5 O 2.76-3.07
Rb 0.7581 0.7581 0.0000  6 O 2.80-2.86
Rb 0.2419 0.2419 0.5000  6 O 2.80-2.86
Rb 0.7419 0.2581 0.2500  6 O 2.80-2.86
Rb 0.2581 0.7419 0.7500  6 O 2.80-2.86
V 0.2306 0.2338 0.2687  4 O 1.68-1.83
V 0.7694 0.7662 0.7687  4 O 1.68-1.83
V 0.2662 0.7306 0.5187  4 O 1.68-1.83
V 0.2694 0.7338 0.9813  4 O 1.68-1.83
V 0.7338 0.2694 0.0187  4 O 1.68-1.83
V 0.7306 0.2662 0.4813  4 O 1.68-1.83
V 0.2338 0.2306 0.7313  4 O 1.68-1.83
V 0.7662 0.7694 0.2313  4 O 1.68-1.83
V 0.3150 0.3150 0.0000  4 O 1.66-1.77
V 0.6850 0.6850 0.5000  4 O 1.66-1.77
V 0.1850 0.8150 0.2500  4 O 1.66-1.77
V 0.8150 0.1850 0.7500  4 O 1.66-1.77
O 0.0704 0.3321 0.2381  1 V 1.68
O 0.9296 0.6679 0.7381  1 V 1.68
O 0.1679 0.5704 0.4881  1 V 1.68
O 0.4296 0.8321 0.0119  1 V 1.68
O 0.8321 0.4296 0.9881  1 V 1.68
O 0.5704 0.1679 0.5119  1 V 1.68
O 0.3321 0.0704 0.7619  1 V 1.68
O 0.6679 0.9296 0.2619  1 V 1.68
O 0.2440 0.2309 0.0710  1 V 1.66
O 0.7560 0.7691 0.5710  1 V 1.66
O 0.2691 0.7440 0.3210  1 V 1.66
O 0.2560 0.7309 0.1790  1 V 1.66
O 0.7309 0.2560 0.8210  1 V 1.66
O 0.7440 0.2691 0.6790  1 V 1.66
O 0.2309 0.2440 0.9290  1 V 1.66
O 0.7691 0.7560 0.4290  1 V 1.66
O 0.2312 0.2460 0.3558  1 V 1.69
O 0.7688 0.7540 0.8558  1 V 1.69
O 0.2540 0.7312 0.6058  1 V 1.69
O 0.2688 0.7460 0.8942  1 V 1.69
O 0.7460 0.2688 0.1058  1 V 1.69
O 0.7312 0.2540 0.3942  1 V 1.69
O 0.2460 0.2312 0.6442  1 V 1.69
O 0.7540 0.7688 0.1442  1 V 1.69
O 0.2164 0.0238 0.2426  2 V 1.77-1.83
O 0.7836 0.9762 0.7426  2 V 1.77-1.83
O 0.4762 0.7164 0.4926  2 V 1.77-1.83
O 0.2836 0.5238 0.0074  2 V 1.77-1.83
O 0.5238 0.2836 0.9926  2 V 1.77-1.83
O 0.7164 0.4762 0.5074  2 V 1.77-1.83
O 0.0238 0.2164 0.7574  2 V 1.77-1.83
O 0.9762 0.7836 0.2574  2 V 1.77-1.83
O 0.4043 0.3066 0.2384  1 V 1.68
O 0.5957 0.6934 0.7384  1 V 1.68
O 0.1934 0.9043 0.4884  1 V 1.68
O 0.0957 0.8066 0.0116  1 V 1.68
O 0.8066 0.0957 0.9884  1 V 1.68
O 0.9043 0.1934 0.5116  1 V 1.68
O 0.3066 0.4043 0.7616  1 V 1.68
O 0.6934 0.5957 0.2616  1 V 1.68

---

First-principles (GGA-PBEsol) data for a relaxed RbW4O12 crystal, as listed in Alexandria.

Output
Its uncorrected formation energy is -2199.9 meV per atom. For the density, the calculation gives 6.9 Mg/m³. The calculated volume is 14.26 A^3/atom. For the spin magnetization, the calculation gives 0.000 μB/atom. Its final energy is -9.214 eV/atom.

abc: 7.4197 10.6396 10.6396
angles: 74.29 69.59 69.59
Closest atoms and distances in Å follow each position.
Element x y z (fractional)
Rb 0.5000 0.5000 0.5000  18 O 3.32-3.71
Rb 0.7892 0.2108 0.2108  6 O 3.03
Rb 0.2108 0.7892 0.7892  6 O 3.03
W 0.1253 0.3747 0.3747  6 O 1.90-1.92
W 0.6245 0.8755 0.8755  6 O 1.90-1.92
W 0.8748 0.1253 0.6250  6 O 1.90-1.92
W 0.3750 0.6250 0.1253  6 O 1.90-1.92
W 0.3750 0.1253 0.6250  6 O 1.90-1.92
W 0.8748 0.6250 0.1253  6 O 1.90-1.92
W 0.8747 0.6253 0.6253  6 O 1.90-1.92
W 0.3755 0.1245 0.1245  6 O 1.90-1.92
W 0.6250 0.3750 0.8747  6 O 1.90-1.92
W 0.1252 0.8747 0.3750  6 O 1.90-1.92
W 0.1252 0.3750 0.8747  6 O 1.90-1.92
W 0.6250 0.8747 0.3750  6 O 1.90-1.92
O 0.1257 0.0876 0.6610  2 W 1.92
O 0.6247 0.5869 0.1636  2 W 1.92
O 0.3066 0.2694 0.4813  2 W 1.92
O 0.8063 0.7677 0.9809  2 W 1.91-1.92
O 0.9428 0.2694 0.4813  2 W 1.92
O 0.4451 0.7677 0.9809  2 W 1.91-1.92
O 0.6247 0.1636 0.5869  2 W 1.92
O 0.1257 0.6610 0.0876  2 W 1.92
O 0.8063 0.9809 0.7677  2 W 1.91-1.92
O 0.3066 0.4813 0.2694  2 W 1.92
O 0.4451 0.9809 0.7677  2 W 1.91-1.92
O 0.9428 0.4813 0.2694  2 W 1.92
O 0.3753 0.4131 0.8364  2 W 1.92
O 0.8743 0.9124 0.3390  2 W 1.92
O 0.1937 0.2323 0.0191  2 W 1.91-1.92
O 0.6934 0.7306 0.5187  2 W 1.92
O 0.5549 0.2323 0.0191  2 W 1.91-1.92
O 0.0572 0.7306 0.5187  2 W 1.92
O 0.8743 0.3390 0.9124  2 W 1.92
O 0.3753 0.8364 0.4131  2 W 1.92
O 0.6934 0.5187 0.7306  2 W 1.92
O 0.1937 0.0191 0.2323  2 W 1.91-1.92
O 0.0572 0.5187 0.7306  2 W 1.92
O 0.5549 0.0191 0.2323  2 W 1.91-1.92
O 0.2506 0.2504 0.7496  2 W 1.90
O 0.7494 0.7496 0.2504  2 W 1.90
O 0.0000 0.5000 0.5000  2 W 1.91
O 0.5000 0.0000 0.0000  2 W 1.90
O 0.7494 0.2504 0.7496  2 W 1.90
O 0.2506 0.7496 0.2504  2 W 1.90
O 0.5000 0.0000 0.5000  2 W 1.91
O 0.0000 0.5000 0.0000  2 W 1.91
O 0.7501 0.7499 0.7499  2 W 1.90-1.92
O 0.2499 0.2501 0.2501  2 W 1.90-1.92
O 0.5000 0.5000 0.0000  2 W 1.91
O 0.0000 0.0000 0.5000  2 W 1.91

---

First-principles (GGA-PBEsol) data for a relaxed Rb2WO4 crystal, as listed in Alexandria.

Output
Its uncorrected formation energy is -2146.7 meV per atom. For the density, the calculation gives 4.9 Mg/m³. The calculated volume is 20.19 A^3/atom. For the spin magnetization, the calculation gives 0.000 μB/atom. Its final energy is -7.412 eV/atom.

abc: 6.2747 7.1178 7.8494
angles: 113.23 90.00 116.15
Closest atoms and distances in Å follow each position.
Element x y z (fractional)
Rb 0.1559 0.3118 0.7474  6 O 2.80-3.05
Rb 0.8441 0.6882 0.2526  6 O 2.80-3.05
Rb 0.5116 0.0232 0.2370  6 O 2.82-2.99
Rb 0.4884 0.9768 0.7630  6 O 2.82-2.99
W 0.8252 0.6504 0.7761  4 O 1.79-1.80
W 0.1748 0.3496 0.2239  4 O 1.79-1.80
O 0.0922 0.7173 0.9222  1 W 1.79
O 0.3750 0.2827 0.0778  1 W 1.79
O 0.9078 0.2827 0.0778  1 W 1.79
O 0.6250 0.7173 0.9222  1 W 1.79
O 0.3288 0.6576 0.3749  1 W 1.80
O 0.6712 0.3424 0.6251  1 W 1.80
O 0.9087 0.8174 0.6426  1 W 1.79
O 0.0913 0.1826 0.3574  1 W 1.79

---

First-principles (GGA-PBEsol) data for a relaxed Rb2W2O crystal, as listed in Alexandria.

Output
Its uncorrected formation energy is 645.5 meV per atom. For the density, the calculation gives 7.1 Mg/m³. The calculated volume is 25.90 A^3/atom. For the spin magnetization, the calculation gives 0.109 μB/atom. Its final energy is -6.337 eV/atom.

abc: 3.4924 3.4924 10.9000
angles: 99.22 99.22 90.00
Closest atoms and distances in Å follow each position.
Element x y z (fractional)
O 0.0000 0.0000 0.0000  8 Rb 2.93
Rb 0.4260 0.4260 0.8520  4 O 2.93, 1 Rb 3.14
Rb 0.5740 0.5740 0.1480  4 O 2.93, 1 Rb 3.14
W 0.2500 0.7500 0.5000  4 W 2.47
W 0.7500 0.2500 0.5000  4 W 2.47

---

First-principles (GGA-PBEsol) data for a relaxed Rb2W2O7 crystal, as listed in Alexandria.

Output
Its uncorrected formation energy is -2192.0 meV per atom. For the density, the calculation gives 6.4 Mg/m³. The calculated volume is 15.35 A^3/atom. For the spin magnetization, the calculation gives 0.000 μB/atom. Its final energy is -8.229 eV/atom.

abc: 3.9047 6.0891 14.2067
angles: 90.00 90.00 90.37
Closest atoms and distances in Å follow each position.
Element x y z (fractional)
O 0.0030 0.1956 0.8191  1 W 1.78
O 0.9970 0.3044 0.3191  1 W 1.78
O 0.9970 0.8044 0.1809  1 W 1.78
O 0.0030 0.6956 0.6809  1 W 1.78
O 0.9952 0.4119 0.0786  1 W 1.87
O 0.0048 0.0881 0.5786  1 W 1.87
O 0.0048 0.5881 0.9214  1 W 1.87
O 0.9952 0.9119 0.4214  1 W 1.87
O 0.0000 0.5000 0.5000  2 W 1.95
O 0.0000 0.0000 0.0000  2 W 1.95
O 0.5111 0.7767 0.5523  1 W 1.82
O 0.5111 0.2767 0.9477  1 W 1.82
O 0.4889 0.2233 0.4477  1 W 1.82
O 0.4889 0.7233 0.0523  1 W 1.82
Rb 0.4904 0.1685 0.1710  6 O 2.77-3.00
Rb 0.5096 0.3315 0.6710  6 O 2.77-3.00
Rb 0.5096 0.8315 0.8290  6 O 2.77-3.00
Rb 0.4904 0.6685 0.3290  6 O 2.77-3.00
W 0.0453 0.7841 0.5619  4 O 1.78-1.95
W 0.9547 0.7159 0.0619  4 O 1.78-1.95
W 0.9547 0.2159 0.4381  4 O 1.78-1.95
W 0.0453 0.2841 0.9381  4 O 1.78-1.95

---

First-principles (GGA-PBEsol) data for a relaxed RbYW2O8 crystal, as listed in Alexandria.

Output
Its uncorrected formation energy is -2555.0 meV per atom. For the density, the calculation gives 7.0 Mg/m³. The calculated volume is 13.24 A^3/atom. For the spin magnetization, the calculation gives 0.000 μB/atom. Its final energy is -9.010 eV/atom.

abc: 7.4753 7.4752 7.4752
angles: 91.13 117.61 62.39
Closest atoms and distances in Å follow each position.
Element x y z (fractional)
Rb 0.7500 0.7993 0.7993  10 O 2.86-3.08
Rb 0.2500 0.2007 0.2007  10 O 2.86-3.08
Y 0.7500 0.2277 0.2277  6 O 2.26-2.32
Y 0.2500 0.7723 0.7723  6 O 2.26-2.32
W 0.7711 0.6932 0.3011  4 O 1.80-1.98
W 0.2289 0.3068 0.6989  4 O 1.80-1.98
W 0.7289 0.3011 0.6932  4 O 1.80-1.98
W 0.2711 0.6989 0.3068  4 O 1.80-1.98
O 0.5565 0.7585 0.3792  1 W 1.81
O 0.4435 0.2415 0.6208  1 W 1.81
O 0.9435 0.3792 0.7585  1 W 1.81
O 0.0565 0.6208 0.2415  1 W 1.81
O 0.8747 0.0628 0.6211  1 W 1.83
O 0.1253 0.9372 0.3789  1 W 1.83
O 0.6253 0.6211 0.0628  1 W 1.83
O 0.3747 0.3789 0.9372  1 W 1.83
O 0.9688 0.3699 0.4124  2 W 1.98-2.08
O 0.0312 0.6301 0.5876  2 W 1.98-2.08
O 0.5312 0.4124 0.3699  2 W 1.98-2.08
O 0.4688 0.5876 0.6301  2 W 1.98-2.08
O 0.6925 0.9555 0.2126  1 W 1.80
O 0.3075 0.0445 0.7874  1 W 1.80
O 0.8075 0.2126 0.9555  1 W 1.80
O 0.1925 0.7874 0.0445  1 W 1.80

---

The highest spin magnetization belongs to which entry? Rb2W2O